Crystalline Sr3Y2ErTe6 at its relaxed geometry. Source: Alexandria via LeMat-Bulk, functional PBE.

It has space group C2/m (No. 12), with a = 19.8786 Å, b = 4.4820 Å, c = 9.1353 Å, α = 90.00°, β = 104.93° and γ = 90.00°. The inequivalent atoms are Sr at (0.0000, 0.0000, 0.0000), Sr at (0.1676, 0.5000, 0.3338), Y at (0.1683, 0.5000, 0.8368), Er at (0.0000, 0.0000, 0.5000), Te at (0.0042, 0.5000, 0.7367), Te at (0.1610, 0.0000, 0.5935) and Te at (0.1699, 0.0000, 0.0744).

For the calculated volume, the calculation gives 32.77 Å³/atom. For the energy relative to the elements, uncorrected, the calculation gives -1.492 eV per atom. Its energy is -59.3 eV/f.u.